Computed, not measured: a relaxed structure of PrCo2SnSb at the GGA-PBE level of DFT.

Output
The value obtained for the volume is 19.7 Å³ per atom. For the uncorrected energy, the calculation gives -5.867 eV per atom.

Cell lengths 4.390, 4.390, 10.242 Å; angles 90.00, 90.00, 90.00 degrees
Site moments in Bohr magnetons follow the coordinates.
Element x y z (fractional)
Co: 0.500 0.000 0.369  -0.07
Co: 0.000 0.000 0.000  0.78
Co: 0.000 0.500 0.631  -0.07
Co: 0.500 0.500 0.000  0.78
Sn: 0.500 0.500 0.500  0.00
Sn: 0.000 0.000 0.500  0.00
Sb: 0.500 0.000 0.128  0.00
Sb: 0.000 0.500 0.872  0.00
Pr: 0.000 0.500 0.245  -0.01
Pr: 0.500 0.000 0.755  -0.01

=====

Computed, not measured: a relaxed structure of KHgAs at the GGA-PBE level of DFT.

Output
The value obtained for the volume is 28.9 Å³ per atom. For the uncorrected energy, the calculation gives -2.137 eV per atom.

Cell lengths 7.676, 7.676, 5.094 Å; angles 90.00, 90.00, 120.00 degrees
Element x y z (fractional)
Hg: 0.000 0.000 0.500
Hg: 0.667 0.333 0.000
Hg: 0.333 0.667 0.000
As: 0.279 0.000 0.000
As: 0.721 0.721 0.000
As: 0.000 0.279 0.000
K: 0.000 0.588 0.500
K: 0.412 0.412 0.500
K: 0.588 0.000 0.500

=====

Computed, not measured: a relaxed structure of TmSBr at the GGA-PBE level of DFT.

Output
The value obtained for the volume is 25.3 Å³ per atom. For the uncorrected energy, the calculation gives -5.365 eV per atom.

Cell lengths 6.748, 6.795, 6.725 Å; angles 90.00, 99.84, 90.00 degrees
Element x y z (fractional)
S: 0.556 0.262 0.008
S: 0.556 0.238 0.508
S: 0.444 0.762 0.492
S: 0.444 0.738 0.992
Tm: 0.322 0.463 0.706
Tm: 0.322 0.037 0.206
Tm: 0.678 0.963 0.794
Tm: 0.678 0.537 0.294
Br: 0.920 0.874 0.202
Br: 0.080 0.374 0.298
Br: 0.920 0.626 0.702
Br: 0.080 0.126 0.798